[1]
{
  "formula": "Mg3Cl2",
  "functional": "PBE-GGA",
  "state": "optimized geometry",
  "polymorph_energy_ev_per_fu": 0.00,
  "e_tot_ev_per_cell": -12.77,
  "formation_energy_uncorrected_ev_per_atom": -0.8594,
  "lattice_angstrom": [[-4.5827, -11.4147, 1.8192], [-3.1915, -11.9425, -1.3405], [-1.2129, -12.2814, 1.5175]],
  "species": ["Mg", "Cl", "Cl", "Mg", "Mg"],
  "frac_coords": [[0.0000, 0.0000, 0.0000], [0.4256, 0.4256, 0.4256], [0.5744, 0.5744, 0.5744], [0.1999, 0.1999, 0.1999], [0.8001, 0.8001, 0.8001]]
}

***

[2]
{
  "formula": "Er5Tl2Rh",
  "functional": "PBE-GGA",
  "state": "optimized geometry",
  "polymorph_energy_ev_per_fu": 3.05,
  "e_tot_ev_per_cell": -70.87,
  "ef_ev_per_atom": -0.0670,
  "lattice_angstrom": [[5.3755, 0.0000, 0.0000], [-2.6877, 8.1950, 0.0000], [0.0000, 0.0000, 12.3731]],
  "species": ["Er", "Tl", "Er", "Tl", "Er", "Tl", "Er", "Rh", "Er", "Er", "Tl", "Er", "Er", "Er", "Er", "Rh"],
  "frac_coords": [[0.7014, 0.4028, 0.5719], [0.8870, 0.7740, 0.3682], [0.7014, 0.4028, 0.9281], [0.8870, 0.7740, 0.1318], [0.2986, 0.5972, 0.0719], [0.1130, 0.2260, 0.8682], [0.7091, 0.4183, 0.2500], [0.1946, 0.3892, 0.2500], [0.2909, 0.5817, 0.7500], [0.9227, 0.8455, 0.8978], [0.1130, 0.2260, 0.6318], [0.0773, 0.1545, 0.3978], [0.0773, 0.1545, 0.1022], [0.2986, 0.5972, 0.4281], [0.9227, 0.8455, 0.6022], [0.8054, 0.6108, 0.7500]]
}

***

[3]
{
  "formula": "H2IrRu",
  "functional": "PBE-GGA",
  "state": "optimized geometry",
  "polymorph_energy_ev_per_fu": 0.59,
  "e_tot_ev_per_cell": -22.98,
  "lattice_angstrom": [[2.9184, 0.0000, 0.0000], [1.4592, 2.5274, 0.0000], [1.4592, 0.8425, 4.9196]],
  "species": ["H", "Ir", "H", "Ru"],
  "frac_coords": [[0.1180, 0.1180, 0.6462], [0.5000, 0.5000, 0.5000], [0.8820, 0.8820, 0.3538], [0.0000, 0.0000, 0.0000]]
}

***

[4]
{
  "formula": "K2DyErS4",
  "functional": "PBE-GGA",
  "state": "optimized geometry",
  "e_tot_ev_per_cell": -42.99,
  "formation_energy_uncorrected_ev_per_atom": -1.8896,
  "lattice_angstrom": [[-1.9762, 0.7549, -3.4360], [-3.8143, -5.7831, 0.9232], [-3.7364, 5.8266, 3.4291]],
  "species": ["S", "K", "S", "K", "S", "Er", "S", "Dy"],
  "frac_coords": [[0.5000, 0.7684, 0.7996], [0.0000, 0.5000, 0.5000], [0.0000, 0.7356, 0.2012], [0.5000, 0.0000, 0.5000], [0.0000, 0.2644, 0.7988], [0.0000, 0.0000, 0.0000], [0.5000, 0.2316, 0.2004], [0.5000, 0.5000, 0.0000]]
}

***

[5]
{
  "formula": "NdPuRhO6",
  "functional": "PBE-GGA",
  "state": "optimized geometry",
  "e_tot_ev_per_cell": -153.88,
  "formation_energy_uncorrected_ev_per_atom": -2.3043,
  "lattice_angstrom": [[5.2991, 0.0000, 0.0000], [-2.6496, 4.5892, 0.0000], [0.0000, 0.0000, 10.6451]],
  "species": ["Nd", "O", "O", "O", "O", "O", "O", "O", "O", "Rh", "Pu", "Rh", "O", "O", "O", "O", "Nd", "Pu"],
  "frac_coords": [[0.0000, 0.0000, 0.5000], [0.0079, 0.3561, 0.1406], [0.9921, 0.6439, 0.8594], [0.3561, 0.3482, 0.8594], [0.3482, 0.3561, 0.3594], [0.6518, 0.0079, 0.8594], [0.0079, 0.6518, 0.3594], [0.3482, 0.9921, 0.1406], [0.6439, 0.6518, 0.1406], [0.3333, 0.6667, 0.2500], [0.3333, 0.6667, 0.7500], [0.6667, 0.3333, 0.7500], [0.9921, 0.3482, 0.6406], [0.6439, 0.9921, 0.3594], [0.3561, 0.0079, 0.6406], [0.6518, 0.6439, 0.6406], [0.0000, 0.0000, 0.0000], [0.6667, 0.3333, 0.2500]]
}

***

[6]
{
  "formula": "LaZn2HgPd2",
  "functional": "PBE-GGA",
  "state": "optimized geometry",
  "e_tot_ev_per_cell": -18.29,
  "ef_ev_per_atom": -0.0210,
  "lattice_angstrom": [[-0.7685, 4.6890, -0.7626], [-4.1418, -1.0397, -2.2187], [-2.8406, 0.3688, 5.1299]],
  "species": ["Pd", "La", "Hg", "Zn", "Zn", "Pd"],
  "frac_coords": [[0.5000, 0.5000, 0.2552], [0.0000, 0.0000, 0.5000], [0.0000, 0.0000, 0.0000], [0.5000, 0.0000, 0.0000], [0.0000, 0.5000, 0.0000], [0.5000, 0.5000, 0.7448]]
}

***

Number 1: magnetic moment 0.0 μB/f.u., mass density 1.84 g/cm³. Number 2: magnetic moment 0.0 μB/f.u., mass density 8.21 g/cm³. Number 3: magnetic moment 0.0 μB/f.u., mass density 13.51 g/cm³. Number 4: magnetic moment 0.0 μB/f.u., mass density 4.29 g/cm³. Number 5: magnetic moment 2.0 μB/f.u., mass density 7.53 g/cm³. Number 6: magnetic moment 0.0 μB/f.u., mass density 8.34 g/cm³.